This record from Alexandria describes a geometry-optimized Sr2YCuSn structure. The functional is PBE-GGA.

Cell: 6.4129 6.4129 4.8492 Å, 90.00 90.00 90.00°
With the nearest neighbours (Å) after each atom.
Fractional positions:
Sr 0.0000 0.5000 0.0000  2 Sn 3.21
Sr 0.5000 0.0000 0.0000  2 Sn 3.21
Y 0.0000 0.0000 0.5000  8 Sr 4.02
Cu 0.5000 0.5000 0.5000  2 Sn 2.42
Sn 0.5000 0.5000 0.0000  2 Cu 2.42

Computed properties:
ΔH_f (0 K) (eV/atom): 0.34

This record from Alexandria describes a geometry-optimized SrTa4Au structure. The functional is PBE-GGA.

Cell: 5.6660 5.6660 5.6660 Å, 60.00 60.00 60.00°
With the nearest neighbours (Å) after each atom.
Fractional positions:
Sr 0.0000 0.0000 0.0000  12 Ta 3.32, 4 Au 3.47
Ta 0.1189 0.6270 0.6270  6 Ta 2.79-2.88
Ta 0.6270 0.1189 0.6270  6 Ta 2.79-2.88
Ta 0.6270 0.6270 0.1189  6 Ta 2.79-2.88
Ta 0.6270 0.6270 0.6270  6 Ta 2.79-2.88
Au 0.2500 0.2500 0.2500  12 Ta 3.33, 4 Sr 3.47

Computed properties:
ΔH_f (0 K) (eV/atom): 0.58

This record from Alexandria describes a geometry-optimized Dy8Te4AsPt3 structure. The functional is PBE-GGA.

Cell: 8.6942 8.6942 8.6942 Å, 57.39 57.39 57.39°
With the nearest neighbours (Å) after each atom.
Fractional positions:
Dy 0.2324 0.7417 0.7417  2 Pt 2.85, 1 As 2.91, 3 Te 3.13-3.19
Dy 0.2364 0.2364 0.2364  3 Pt 2.85
Dy 0.2583 0.2583 0.7676  2 Pt 2.85, 1 As 2.91, 3 Te 3.13-3.19
Dy 0.2583 0.7676 0.2583  2 Pt 2.85, 1 As 2.91, 3 Te 3.13-3.19
Dy 0.7417 0.2324 0.7417  2 Pt 2.85, 1 As 2.91, 3 Te 3.13-3.19
Dy 0.7417 0.7417 0.2324  2 Pt 2.85, 1 As 2.91, 3 Te 3.13-3.19
Dy 0.7636 0.7636 0.7636  3 Pt 2.85
Dy 0.7676 0.2583 0.2583  2 Pt 2.85, 1 As 2.91, 3 Te 3.13-3.19
Te 0.0000 0.0000 0.0000  6 Dy 3.13
Te 0.0000 0.5000 0.5000  6 Dy 3.19-3.20
Te 0.5000 0.0000 0.5000  6 Dy 3.19-3.20
Te 0.5000 0.5000 0.0000  6 Dy 3.19-3.20
As 0.5000 0.5000 0.5000  6 Dy 2.91
Pt 0.0000 0.0000 0.5000  6 Dy 2.85
Pt 0.0000 0.5000 0.0000  6 Dy 2.85
Pt 0.5000 0.0000 0.0000  6 Dy 2.85

Listing electronic total energy for the structures above in their given order: -16.240 -48.864 -93.018 eV for the cell shown.